# 1
K2UPbSe4 after structural relaxation, computed with PBE-GGA.

abc: 7.6303 4.3348 7.9837
angles: 90.00 107.77 90.00
With the nearest neighbours (Å) after each atom.
Space group P2/m (No. 10)
One atom of each set of equivalent atoms:
K1 0.0000 0.0000 0.0000 (multiplicity 1)  6 Se 3.26-3.28
K2 0.5000 0.5000 0.0000 (multiplicity 1)  6 Se 3.44-3.50
U1 0.0000 0.5000 0.5000 (multiplicity 1)  6 Se 2.81-2.91
Pb1 0.5000 0.0000 0.5000 (multiplicity 1)  6 Se 3.08
Se1 0.2165 0.0000 0.7048 (multiplicity 2)  2 U 2.91, 1 Pb 3.08
Se2 0.2365 0.5000 0.2898 (multiplicity 2)  1 U 2.81, 2 Pb 3.08

## Properties
Formation energy (no corrections), eV/atom: -1.118
Crystal system: monoclinic
Total magnetization, μB/atom: 0.2500

***

# 2
K4U3PbSe8 after structural relaxation, computed with PBE-GGA.

abc: 8.6524 8.6524 22.9248
angles: 90.00 90.00 120.00
With the nearest neighbours (Å) after each atom.
Space group R-3m (No. 166, hexagonal axes)
One atom of each set of equivalent atoms:
K1 0.0000 0.0000 0.0000 (multiplicity 3)  6 Se 3.26
K2 0.0000 0.5000 0.0000 (multiplicity 9)  6 Se 3.37-3.40
U1 0.0000 0.5000 0.5000 (multiplicity 9)  6 Se 2.91-2.95
Pb1 0.0000 0.0000 0.5000 (multiplicity 3)  6 Se 3.07
Se1 0.0000 0.0000 0.2349 (multiplicity 6)  3 U 2.95
Se2 0.0168 0.5084 0.7639 (multiplicity 18)  2 U 2.91, 1 Pb 3.07, 1 K 3.26

## Properties
Formation energy (no corrections), eV/atom: -1.180
Crystal system: trigonal
Total magnetization, μB/atom: 0.5000

***

# 3
K3UPb3Se8 after structural relaxation, computed with PBE-GGA.

abc: 8.6725 8.6725 23.5199
angles: 90.00 90.00 120.00
With the nearest neighbours (Å) after each atom.
Space group R-3m (No. 166, hexagonal axes)
One atom of each set of equivalent atoms:
K1 0.0000 0.5000 0.0000 (multiplicity 9)  6 Se 3.33-3.36
U1 0.0000 0.0000 0.5000 (multiplicity 3)  6 Se 2.72
Pb1 0.0000 0.5000 0.5000 (multiplicity 9)  6 Se 3.04-3.07
Se1 0.0000 0.0000 0.2397 (multiplicity 6)  3 Pb 3.04, 3 K 3.33
Se2 0.0354 0.5177 0.2327 (multiplicity 18)  1 U 2.72

## Properties
Formation energy (no corrections), eV/atom: -0.879
Crystal system: trigonal
Total magnetization, μB/atom: 0.0394

***

Please write out number 1 again, unchanged.
K2UPbSe4 after structural relaxation, computed with PBE-GGA.

abc: 7.6303 4.3348 7.9837
angles: 90.00 107.77 90.00
With the nearest neighbours (Å) after each atom.
Space group P2/m (No. 10)
One atom of each set of equivalent atoms:
K1 0.0000 0.0000 0.0000 (multiplicity 1)  6 Se 3.26-3.28
K2 0.5000 0.5000 0.0000 (multiplicity 1)  6 Se 3.44-3.50
U1 0.0000 0.5000 0.5000 (multiplicity 1)  6 Se 2.81-2.91
Pb1 0.5000 0.0000 0.5000 (multiplicity 1)  6 Se 3.08
Se1 0.2165 0.0000 0.7048 (multiplicity 2)  2 U 2.91, 1 Pb 3.08
Se2 0.2365 0.5000 0.2898 (multiplicity 2)  1 U 2.81, 2 Pb 3.08

## Properties
Formation energy (no corrections), eV/atom: -1.118
Crystal system: monoclinic
Total magnetization, μB/atom: 0.2500

***

Q: What is the formula in the second record?
A: K4U3PbSe8

***

Q: The lowest total magnetization belongs to which entry?
A: K3UPb3Se8